The following is a DFT calculation (PBE) of a relaxed structure of Tm2InCuS5.

N(E_F) (states/eV/f.u.): 0.1
Space group: Cmc2_1, No. 36
DFT total energy (eV/cell): -95.22
Formation energy without anion corrections (eV per atom): -1.244

Cell lengths 3.7880, 8.2677, 11.4628 Å; angles 90.00, 90.00, 103.24 degrees
Last column: nearest neighbours and their distance in Å.
Atoms (fractional coordinates):
Tm: 0.8796 0.7593 0.7964  8 S 2.77-3.04
Tm: 0.1123 0.2246 0.6833  8 S 2.80-2.96
Tm: 0.1204 0.2407 0.2964  8 S 2.77-3.04
Tm: 0.8877 0.7754 0.1833  8 S 2.80-2.96
In: 0.8089 0.6179 0.4978  6 S 2.53-2.71
In: 0.1911 0.3821 0.9978  6 S 2.53-2.71
Cu: 0.5005 0.0010 0.9843  4 S 2.25-2.37
Cu: 0.4995 0.9990 0.4843  4 S 2.25-2.37
S: 0.3538 0.7077 0.0003  1 Cu 2.37, 1 In 2.62
S: 0.7014 0.4027 0.8376  2 In 2.64, 1 Tm 2.91
S: 0.5049 0.0097 0.7879  1 Cu 2.25
S: 0.2891 0.5782 0.6649  2 In 2.71, 3 Tm 2.83-2.85
S: 0.9573 0.9147 0.5716  2 Cu 2.25
S: 0.6462 0.2923 0.5003  1 Cu 2.37, 1 In 2.62
S: 0.2986 0.5973 0.3376  2 In 2.64, 1 Tm 2.91
S: 0.4951 0.9903 0.2879  1 Cu 2.25
S: 0.7109 0.4218 0.1649  2 In 2.71, 3 Tm 2.83-2.85
S: 0.0427 0.0853 0.0716  2 Cu 2.25

***

The following is a DFT calculation (PBE) of a relaxed structure of VInCu2S.

N(E_F) (states/eV/f.u.): 3.3
Space group: P4/mmm, No. 123
DFT total energy (eV/cell): -23.13
Formation energy without anion corrections (eV per atom): 0.209

Cell lengths 4.4114, 4.4427, 4.4114 Å; angles 90.00, 90.00, 90.00 degrees
Last column: nearest neighbours and their distance in Å.
Atoms (fractional coordinates):
S: 0.0000 0.0000 0.0000  4 Cu 2.21, 2 V 2.22
V: 0.0000 0.5000 0.0000  2 S 2.22
Cu: 0.0000 0.0000 0.5000  2 S 2.21
Cu: 0.5000 0.0000 0.0000  2 S 2.21
In: 0.5000 0.5000 0.5000  4 V 3.12, 8 Cu 3.13

***

The following is a DFT calculation (PBE) of a relaxed structure of Zn2InCuS4.

Space group: I-42m, No. 121
DFT total energy (eV/cell): -31.03
Formation energy without anion corrections (eV per atom): -0.642

Cell lengths 6.7618, 6.7618, 6.7618 Å; angles 131.89, 131.89, 70.40 degrees
Last column: nearest neighbours and their distance in Å.
Atoms (fractional coordinates):
Zn: 0.7500 0.2500 0.5000  4 S 2.37
Zn: 0.2500 0.7500 0.5000  4 S 2.37
In: 0.5000 0.5000 0.0000  4 S 2.50
Cu: 0.0000 0.0000 0.0000  4 S 2.32
S: 0.3638 0.3638 0.4713  1 Cu 2.32, 2 Zn 2.37, 1 In 2.50
S: 0.1075 0.6362 0.0000  1 Cu 2.32, 2 Zn 2.37, 1 In 2.50
S: 0.8925 0.8925 0.5287  1 Cu 2.32, 2 Zn 2.37, 1 In 2.50
S: 0.6362 0.1075 0.0000  1 Cu 2.32, 2 Zn 2.37, 1 In 2.50

***

The following is a DFT calculation (PBE) of a relaxed structure of ZnIn2Cu2S5.

N(E_F) (states/eV/f.u.): 0.5
Space group: Cm, No. 8
DFT total energy (eV/cell): -40.97
Formation energy without anion corrections (eV per atom): -0.539

Cell lengths 10.4233, 10.4233, 5.5314 Å; angles 74.61, 74.61, 21.84 degrees
Last column: nearest neighbours and their distance in Å.
Atoms (fractional coordinates):
Zn: 0.5948 0.5948 0.4080  4 S 2.32-2.42
S: 0.5044 0.5044 0.7680  2 Cu 2.32, 1 Zn 2.32, 1 In 2.49
S: 0.0934 0.0934 0.1669  1 Cu 2.34, 2 Zn 2.39, 1 In 2.50
S: 0.7009 0.7009 0.5228  1 Cu 2.35, 1 Zn 2.42, 2 In 2.53
S: 0.3009 0.3009 0.9740  2 Cu 2.32, 2 In 2.49-2.54
S: 0.9006 0.9006 0.3178  2 Cu 2.31-2.34, 2 In 2.51
Cu: 0.0011 0.0011 0.9917  4 S 2.32-2.34
Cu: 0.8013 0.8013 0.1943  4 S 2.31-2.35
In: 0.1986 0.1986 0.8109  4 S 2.49-2.53
In: 0.4041 0.4041 0.5956  4 S 2.49-2.54

***

The following is a DFT calculation (PBE) of a relaxed structure of In2CuSb.

N(E_F) (states/eV/f.u.): 2.1
Space group: R3m, No. 160
DFT total energy (eV/cell): -13.19
Formation energy without anion corrections (eV per atom): 0.126

Cell lengths 8.4723, 8.4723, 8.4723 Å; angles 25.12, 25.12, 25.12 degrees
Last column: nearest neighbours and their distance in Å.
Atoms (fractional coordinates):
Cu: 0.7518 0.7518 0.7518  3 Sb 2.67, 3 In 2.74
In: 0.0146 0.0146 0.0146  3 Cu 2.74
In: 0.2496 0.2496 0.2496  3 In 3.22, 3 Sb 3.23
Sb: 0.4840 0.4840 0.4840  3 Cu 2.67

***

The following is a DFT calculation (PBE) of a relaxed structure of InCuSb.

N(E_F) (states/eV/f.u.): 1.5
Space group: Fmm2, No. 42
DFT total energy (eV/cell): -10.49
Formation energy without anion corrections (eV per atom): 0.157
ΔE to the lowest computed polymorph (eV/f.u.): 0.353

Cell lengths 6.9832, 6.9053, 3.1974 Å; angles 78.05, 75.33, 26.61 degrees
Last column: nearest neighbours and their distance in Å.
Atoms (fractional coordinates):
Cu: 0.0027 0.0027 0.9973  4 Sb 2.78-2.96, 4 In 2.84-3.03
In: 0.3598 0.3598 0.6402  4 Cu 2.84-3.03
Sb: 0.6375 0.6375 0.3625  4 Cu 2.78-2.96